[1]
This record from Alexandria via LeMat-Bulk describes crystalline CeMg2ZnAg4 at its relaxed geometry. The functional is PBE.

Computed properties:
DFT formation energy   -116 meV per atom

```
CeMg2ZnAg4
1.0
2.324 1.342 8.832
-2.324 1.342 8.832
0.000 -2.683 8.832
Ce Mg Zn Ag
1 2 1 4
Cartesian
0.000 0.000 0.000 Ce
0.000 0.000 6.378 Mg
0.000 0.000 20.117 Mg
0.000 0.000 13.248 Zn
0.000 0.000 3.465 Ag
0.000 0.000 10.568 Ag
0.000 0.000 15.928 Ag
0.000 0.000 23.030 Ag
```

---

[2]
This record from Alexandria via LeMat-Bulk describes crystalline Ce2MnAg at its relaxed geometry. The functional is PBE.

Computed properties:
DFT formation energy   62 meV per atom

```
Ce2MnAg
1.0
3.224 0.000 0.000
0.000 3.224 0.000
0.000 0.000 8.238
Ce Mn Ag
2 1 1
Cartesian
0.000 0.000 1.719 Ce
0.000 0.000 6.519 Ce
1.612 1.612 0.000 Mn
1.612 1.612 4.119 Ag
```

---

[3]
This record from Alexandria via LeMat-Bulk describes crystalline Ce2MnAg at its relaxed geometry. The functional is PBE.

Computed properties:
DFT formation energy   444 meV per atom

```
Ce2MnAg
1.0
1.827 1.055 9.092
-1.827 1.055 9.092
0.000 -2.110 9.092
Ce Mn Ag
2 1 1
Cartesian
0.000 0.000 3.042 Ce
0.000 0.000 24.233 Ce
0.000 0.000 13.638 Mn
0.000 0.000 0.000 Ag
```

---

[4]
This record from Alexandria via LeMat-Bulk describes crystalline CeMnAg4 at its relaxed geometry. The functional is PBE.

Computed properties:
DFT formation energy   103 meV per atom

```
CeMnAg4
1.0
0.000 3.945 3.945
3.945 0.000 3.945
3.945 3.945 0.000
Ce Mn Ag
1 1 4
Cartesian
0.000 0.000 0.000 Ce
5.917 5.917 5.917 Mn
2.964 2.964 2.964 Ag
4.925 4.925 2.964 Ag
4.925 2.964 4.925 Ag
2.964 4.925 4.925 Ag
```

---

[5]
This record from Alexandria via LeMat-Bulk describes crystalline Ce2MnAg at its relaxed geometry. The functional is PBE.

Computed properties:
DFT formation energy   123 meV per atom

```
Ce2MnAg
1.0
5.342 0.000 0.000
0.000 5.342 0.000
0.000 0.000 3.325
Ce Mn Ag
2 1 1
Cartesian
0.000 2.671 0.000 Ce
2.671 0.000 0.000 Ce
0.000 0.000 1.663 Mn
2.671 2.671 1.663 Ag
```

---

[6]
This record from Alexandria via LeMat-Bulk describes crystalline Ce2MnAg2S6 at its relaxed geometry. The functional is PBE.

Computed properties:
E_form (uncorrected)   -1037 meV/atom

```
Ce2MnAg2S6
1.0
3.419 -6.000 0.000
3.419 6.000 0.000
-2.318 0.000 6.005
Ce Mn Ag S
2 1 2 6
Cartesian
3.419 4.021 0.000 Ce
3.419 -4.021 0.000 Ce
3.419 0.000 0.000 Mn
2.260 2.152 3.002 Ag
2.260 -2.152 3.002 Ag
0.024 1.942 4.579 S
1.362 0.000 1.375 S
0.024 -1.942 4.579 S
4.496 1.942 1.426 S
3.158 0.000 4.630 S
4.496 -1.942 1.426 S
```

---

[7]
This record from Alexandria via LeMat-Bulk describes crystalline TbCeMnAg at its relaxed geometry. The functional is PBE.

Computed properties:
DFT formation energy   68 meV per atom

```
TbCeMnAg
1.0
0.000 3.610 3.610
3.610 0.000 3.610
3.610 3.610 0.000
Tb Ce Mn Ag
1 1 1 1
Cartesian
0.000 0.000 0.000 Tb
3.610 3.610 3.610 Ce
5.415 5.415 5.415 Mn
1.805 1.805 1.805 Ag
```

---

[8]
This record from Alexandria via LeMat-Bulk describes crystalline CeYMnAg at its relaxed geometry. The functional is PBE.

Computed properties:
DFT formation energy   63 meV per atom

```
CeYMnAg
1.0
0.000 3.610 3.610
3.610 0.000 3.610
3.610 3.610 0.000
Ce Y Mn Ag
1 1 1 1
Cartesian
0.000 0.000 0.000 Ce
3.610 3.610 3.610 Y
5.415 5.415 5.415 Mn
1.805 1.805 1.805 Ag
```